A relaxed structure of KScW2O8, computed with PBEsol.

raw total energy	-0.654	Ry per atom

Unit cell a=5.8187 b=5.8187 c=7.1549 alpha=90.00 beta=90.00 gamma=120.00
Last column: nearest neighbours and their distance in Å.
Positions (direct):
O: 0.8360 0.1640 0.8236  1 W 1.80
O: 0.8360 0.6720 0.8236  1 W 1.80
O: 0.1640 0.3280 0.1764  1 W 1.80
O: 0.6720 0.8360 0.1764  1 W 1.80
O: 0.3333 0.6667 0.5009  1 W 1.75
O: 0.3280 0.1640 0.8236  1 W 1.80
O: 0.6667 0.3333 0.4991  1 W 1.75
O: 0.1640 0.8360 0.1764  1 W 1.80
K: 0.0000 0.0000 0.5000  6 O 2.84
Sc: 0.0000 0.0000 0.0000  6 O 2.08
W: 0.3333 0.6667 0.2560  4 O 1.75-1.80
W: 0.6667 0.3333 0.7440  4 O 1.75-1.80

A relaxed structure of Al2PbAu, computed with PBEsol.

raw total energy	-0.286	Ry per atom

Unit cell a=4.3750 b=4.3750 c=5.1838 alpha=114.96 beta=114.96 gamma=90.00
Last column: nearest neighbours and their distance in Å.
Positions (direct):
Pb: 0.0000 0.0000 0.0000  8 Al 3.02, 4 Au 3.09
Au: 0.5000 0.5000 0.0000  8 Al 3.02, 4 Pb 3.09
Al: 0.7500 0.2500 0.5000  4 Au 3.02, 4 Pb 3.02, 4 Al 3.09
Al: 0.2500 0.7500 0.5000  4 Au 3.02, 4 Pb 3.02, 4 Al 3.09

A relaxed structure of BeBTeRu2, computed with PBEsol.

raw total energy	-0.450	Ry per atom

Unit cell a=4.0587 b=4.0587 c=4.4610 alpha=90.00 beta=90.00 gamma=90.00
Last column: nearest neighbours and their distance in Å.
Positions (direct):
Te: 0.0000 0.0000 0.5000  2 B 2.23
Ru: 0.5000 0.0000 0.0000  2 B 2.03
Ru: 0.0000 0.5000 0.0000  2 B 2.03
B: 0.0000 0.0000 0.0000  4 Ru 2.03, 2 Te 2.23
Be: 0.5000 0.5000 0.5000  4 Te 2.87, 8 Ru 3.02

A relaxed structure of In2NiPt, computed with PBEsol.

raw total energy	-0.369	Ry per atom

Unit cell a=3.1947 b=3.1947 c=6.3475 alpha=90.00 beta=90.00 gamma=90.00
Last column: nearest neighbours and their distance in Å.
Positions (direct):
Pt: 0.5000 0.5000 0.5000  8 In 2.81
In: 0.0000 0.0000 0.7640  4 Ni 2.71, 4 Pt 2.81, 1 In 3.00
In: 0.0000 0.0000 0.2360  4 Ni 2.71, 4 Pt 2.81, 1 In 3.00
Ni: 0.5000 0.5000 0.0000  8 In 2.71

A relaxed structure of TlSiNO2, computed with PBEsol.

raw total energy	-0.470	Ry per atom

Unit cell a=3.4569 b=3.4569 c=4.2031 alpha=90.00 beta=90.00 gamma=90.00
Last column: nearest neighbours and their distance in Å.
Positions (direct):
Tl: 0.5000 0.5000 0.5000  4 N 2.44, 8 O 2.72
O: 0.5000 0.0000 0.0000  2 Si 1.73
O: 0.0000 0.5000 0.0000  2 Si 1.73
N: 0.0000 0.0000 0.5000  2 Si 2.10
Si: 0.0000 0.0000 0.0000  4 O 1.73

A relaxed structure of ScHOs2Au, computed with PBEsol.

raw total energy	-0.559	Ry per atom

Unit cell a=3.9641 b=3.9641 c=4.0808 alpha=90.00 beta=90.00 gamma=90.00
Last column: nearest neighbours and their distance in Å.
Positions (direct):
Sc: 0.5000 0.5000 0.5000  4 Au 2.80, 8 Os 2.84
Au: 0.0000 0.0000 0.5000  2 H 2.04
Os: 0.5000 0.0000 0.0000  2 H 1.98
Os: 0.0000 0.5000 0.0000  2 H 1.98
H: 0.0000 0.0000 0.0000  4 Os 1.98, 2 Au 2.04

A relaxed structure of KTe2PbN, computed with PBEsol.

raw total energy	-0.217	Ry per atom

Unit cell a=4.7445 b=5.9694 c=5.9694 alpha=90.00 beta=90.00 gamma=90.00
Last column: nearest neighbours and their distance in Å.
Positions (direct):
Te: 0.0000 0.5000 0.0000  2 K 2.98
Te: 0.0000 0.0000 0.5000  2 K 2.98
N: 0.5000 0.0000 0.0000  2 K 2.37
Pb: 0.5000 0.5000 0.5000  8 Te 3.81, 4 N 4.22
K: 0.0000 0.0000 0.0000  2 N 2.37

A relaxed structure of Re2TcBr, computed with PBEsol.

raw total energy	-0.670	Ry per atom

Unit cell a=2.8665 b=3.8154 c=5.9776 alpha=90.00 beta=90.00 gamma=90.00
Last column: nearest neighbours and their distance in Å.
Positions (direct):
Tc: 0.0000 0.0000 0.4829  5 Re 2.49-2.75, 4 Br 2.70
Re: 0.0000 0.0000 0.0658  1 Tc 2.49, 4 Re 2.64
Re: 0.5000 0.5000 0.2554  1 Br 2.63, 6 Re 2.64-2.87, 4 Tc 2.75
Br: 0.5000 0.5000 0.6959  1 Re 2.63, 4 Tc 2.70, 2 Br 2.87